First-principles (GGA-PBE) data for a geometry-optimized BaSr2ZnCd structure, as listed in the Alexandria database.

Cell: 6.191 6.191 5.333 Å, 90.00 90.00 90.00°
Atoms (fractional coordinates):
Sr: 0.000 0.500 0.000
Sr: 0.500 0.000 0.000
Zn: 0.000 0.000 0.000
Ba: 0.500 0.500 0.500
Cd: 0.000 0.000 0.500

Crystal system: tetragonal

=====

First-principles (GGA-PBE) data for a geometry-optimized BaSrZnCd structure, as listed in the Alexandria database.

Cell: 4.068 4.068 8.227 Å, 90.00 90.00 90.00°
Atoms (fractional coordinates):
Ba: 0.500 0.500 0.117
Sr: 0.500 0.500 0.597
Zn: 0.000 0.000 0.374
Cd: 0.000 0.000 0.840

Crystal system: tetragonal

=====

Number 1: energy relative to the elements -0.12 eV/f.u.. Number 2: energy relative to the elements -0.97 eV/f.u..